# InTc2AsPt, relaxed, DFT PBE-GGA
data_InTc2AsPt
_cell_length_a 4.870
_cell_length_b 4.870
_cell_length_c 4.854
_cell_angle_alpha 90.00
_cell_angle_beta 90.00
_cell_angle_gamma 90.00
_symmetry_space_group_name_H-M 'P 4/m m m'
_symmetry_Int_Tables_number 123
_symmetry_space_group_name_Hall '-P 4 2'
loop_
_atom_site_label
_atom_site_fract_x
_atom_site_fract_y
_atom_site_fract_z
In1 0.000 0.000 0.000
Tc1 0.000 0.500 0.000
As1 0.000 0.000 0.500
Pt1 0.500 0.500 0.500
# Energy, eV per atom: -4.5544
# Fermi-level density of states, states/eV per cell: 7.43
# Formation energy from the elements, meV/atom: 2278

# Pr2SmPbN, relaxed, DFT PBE-GGA
data_Pr2SmPbN
_cell_length_a 5.089
_cell_length_b 5.089
_cell_length_c 4.960
_cell_angle_alpha 90.00
_cell_angle_beta 90.00
_cell_angle_gamma 90.00
_symmetry_space_group_name_H-M 'P 4/m m m'
_symmetry_Int_Tables_number 123
_symmetry_space_group_name_Hall '-P 4 2'
loop_
_atom_site_label
_atom_site_fract_x
_atom_site_fract_y
_atom_site_fract_z
Pr1 0.000 0.500 0.000
Sm1 0.000 0.000 0.500
Pb1 0.500 0.500 0.500
N1 0.000 0.000 0.000
# Energy, eV per atom: -6.1335
# Fermi-level density of states, states/eV per cell: 1.98
# Energy relative to the elements, uncorrected, eV per atom: -0.871

# Pa6FeSe12, relaxed, DFT PBE-GGA
data_Pa6FeSe12
_cell_length_a 12.5021
_cell_length_b 12.5021
_cell_length_c 11.2920
_cell_angle_alpha 90.00
_cell_angle_beta 90.00
_cell_angle_gamma 120.00
_symmetry_space_group_name_H-M 'R -3'
_symmetry_Int_Tables_number 148
_symmetry_space_group_name_Hall '-R 3'
loop_
_atom_site_label
_atom_site_fract_x
_atom_site_fract_y
_atom_site_fract_z
Pa1 0.0542 0.6105 0.3152
Fe1 0.0000 0.0000 0.0000
Se1 0.0362 0.8234 0.3907
Se2 0.0504 0.8531 0.8863
# Energy, eV per atom: -6.7909
# Fermi-level density of states, states/eV per cell: 112.30
# Energy relative to the elements, uncorrected, eV per atom: -1.146

# LiErLuAg, relaxed, DFT PBE-GGA
data_LiErLuAg
_cell_length_a 7.185
_cell_length_b 7.185
_cell_length_c 7.185
_cell_angle_alpha 90.00
_cell_angle_beta 90.00
_cell_angle_gamma 90.00
_symmetry_space_group_name_H-M 'F -4 3 m'
_symmetry_Int_Tables_number 216
_symmetry_space_group_name_Hall 'F -4 2 3'
loop_
_atom_site_label
_atom_site_fract_x
_atom_site_fract_y
_atom_site_fract_z
Li1 0.000 0.000 0.000
Er1 0.250 0.250 0.750
Lu1 0.250 0.250 0.250
Ag1 0.000 0.000 0.500
# Energy, eV per atom: -3.5685
# Fermi-level density of states, states/eV per cell: 13.99
# Formation energy from the elements, meV/atom: -106